(w)
The following is a GGA-PBE calculation of a relaxed structure of HfTe2MoN, from Alexandria.

total magnetization	3.43	μB/f.u.

Unit cell a=5.677 b=5.677 c=3.939 alpha=90.00 beta=90.00 gamma=90.00
Space group P4/mmm (No. 123)
One atom of each set of equivalent atoms:
Hf1 0.000 0.000 0.000 (multiplicity 1)
Te1 0.000 0.500 0.000 (multiplicity 2)
Mo1 0.500 0.500 0.500 (multiplicity 1)
N1 0.000 0.000 0.500 (multiplicity 1)

=====

(x)
The following is a GGA-PBE calculation of a relaxed structure of HfTe2MoN, from Alexandria.

total magnetization	0.08	μB/f.u.

Unit cell a=5.446 b=5.446 c=3.762 alpha=90.00 beta=90.00 gamma=90.00
Space group P4/mmm (No. 123)
One atom of each set of equivalent atoms:
Hf1 0.000 0.000 0.000 (multiplicity 1)
Te1 0.000 0.500 0.500 (multiplicity 2)
Mo1 0.500 0.500 0.500 (multiplicity 1)
N1 0.500 0.500 0.000 (multiplicity 1)

=====

Most stable: (x)

=====

(w)
The following is a GGA-PBE calculation of a relaxed structure of HfTeMoN2, from Alexandria.

total magnetization	0.00	μB/f.u.

Unit cell a=4.001 b=4.001 c=5.448 alpha=90.00 beta=90.00 gamma=90.00
Space group P4/mmm (No. 123)
One atom of each set of equivalent atoms:
Hf1 0.000 0.000 0.000 (multiplicity 1)
Te1 0.500 0.500 0.000 (multiplicity 1)
Mo1 0.500 0.500 0.500 (multiplicity 1)
N1 0.000 0.500 0.500 (multiplicity 2)

=====

(x)
The following is a GGA-PBE calculation of a relaxed structure of HfTeMoN2, from Alexandria.

total magnetization	3.06	μB/f.u.

Unit cell a=4.134 b=4.134 c=5.900 alpha=90.00 beta=90.00 gamma=90.00
Space group P4/mmm (No. 123)
One atom of each set of equivalent atoms:
Hf1 0.000 0.000 0.000 (multiplicity 1)
Te1 0.000 0.000 0.500 (multiplicity 1)
Mo1 0.500 0.500 0.500 (multiplicity 1)
N1 0.000 0.500 0.000 (multiplicity 2)

=====

Most stable: (w)

=====

(w)
The following is a GGA-PBE calculation of a relaxed structure of Na3HfMo, from Alexandria.

total magnetization	0.00	μB/f.u.

Unit cell a=5.390 b=5.390 c=5.390 alpha=90.00 beta=90.00 gamma=90.00
Space group Pm-3m (No. 221)
One atom of each set of equivalent atoms:
Na1 0.000 0.000 0.500 (multiplicity 3)
Hf1 0.000 0.000 0.000 (multiplicity 1)
Mo1 0.500 0.500 0.500 (multiplicity 1)

=====

(x)
The following is a GGA-PBE calculation of a relaxed structure of Na3HfMo, from Alexandria.

total magnetization	0.00	μB/f.u.

Unit cell a=5.201 b=5.201 c=5.201 alpha=90.00 beta=90.00 gamma=90.00
Space group Pm-3m (No. 221)
One atom of each set of equivalent atoms:
Na1 0.000 0.000 0.500 (multiplicity 3)
Hf1 0.500 0.500 0.500 (multiplicity 1)
Mo1 0.000 0.000 0.000 (multiplicity 1)

=====

Most stable: (x)